TaTe2Rh (GGA-PBEsol, relaxed); uncorrected energy = -26.08 eV per cell; energy relative to the elements, uncorrected = 160 kJ/mol of formula units; spin magnetization = 0.00 μB per atom; DOS(E_F) = 3.484 states/eV/f.u.; mass density = 10.4 g/cm3
1.0
-0.5715 3.2242 0.5269
-3.0771 1.2058 -0.2779
-2.6705 -0.2139 8.8517
Te Rh Ta
2 1 1
direct
0.9003 0.9003 0.2990 Te
0.0997 0.0997 0.7010 Te
0.5000 0.5000 0.5000 Rh
0.0000 0.0000 0.0000 Ta